(1)
Entry from Alexandria: crystalline CaPrTlBi at its relaxed geometry (GGA-PBE).

Results
Total magnetization ... 0.00 μB per cell
Final energy ... -3.7572 eV per atom
Theoretical density ... 7.93 g/cm3

a b c (Å): 7.926 7.926 7.926
angles (deg): 90.00 90.00 90.00
Space group F-43m (No. 216)
Symmetry-distinct sites (fractional):
Ca (0.000, 0.000, 0.000)
Pr (0.000, 0.000, 0.500)
Tl (0.250, 0.250, 0.750)
Bi (0.250, 0.250, 0.250)

***

(2)
Entry from Alexandria: crystalline CaPrZnBi at its relaxed geometry (GGA-PBE).

Results
Total magnetization ... 0.00 μB per cell
Final energy ... -3.4343 eV per atom
Theoretical density ... 6.60 g/cm3

a b c (Å): 7.709 7.709 7.709
angles (deg): 90.00 90.00 90.00
Space group F-43m (No. 216)
Symmetry-distinct sites (fractional):
Ca (0.000, 0.000, 0.000)
Pr (0.000, 0.000, 0.500)
Zn (0.250, 0.250, 0.750)
Bi (0.250, 0.250, 0.250)

***

(3)
Entry from Alexandria: crystalline Ca3Bi3Pt2 at its relaxed geometry (GGA-PBE).

Results
Total magnetization ... 0.00 μB per cell
Final energy ... -4.4474 eV per atom
ΔE to the lowest computed polymorph ... 22 meV per atom
Theoretical density ... 8.75 g/cm3

a b c (Å): 8.439 16.870 6.061
angles (deg): 90.00 90.00 90.00
Space group Pnma (No. 62)
Symmetry-distinct sites (fractional):
Ca (0.035, 0.114, 0.111)
Ca (0.168, 0.250, 0.647)
Bi (0.181, 0.750, 0.639)
Bi (0.192, 0.036, 0.617)
Pt (0.091, 0.620, 0.386)